[1]
DFT (PBE-GGA) results for Cu3Ag7 after structural relaxation.

a b c (Å): 7.6484 7.6484 5.7731
angles (deg): 100.94 100.94 29.32
Fractional coordinates of all 10 atoms:
Ag1 0.1929 0.1929 0.0906
Ag2 0.4050 0.4050 0.2023
Ag3 0.5929 0.5929 0.2963
Ag4 0.8020 0.8020 0.4022
Ag5 0.1930 0.1930 0.6016
Ag6 0.4106 0.4106 0.7059
Ag7 0.8007 0.8007 0.8995
Cu1 0.0043 0.0043 0.5163
Cu2 0.5946 0.5946 0.7968
Cu3 0.0040 0.0040 0.9884

Output
**Distance to the lowest polymorph of the same formula**: 43 meV/atom
**SG**: No. 8
**Calculated formation energy**: 0.72 eV/f.u.
**VASP energy**: -3.020 eV per atom


[2]
DFT (PBE-GGA) results for Cu4Ag5 after structural relaxation.

a b c (Å): 7.2342 7.2342 7.9505
angles (deg): 120.95 120.95 22.70
Fractional coordinates of all 9 atoms:
Ag1 0.6583 0.6583 0.0183
Ag2 0.3359 0.3359 0.0196
Ag3 0.5615 0.5615 0.3093
Ag4 0.7793 0.7793 0.6609
Ag5 0.1032 0.1032 0.6618
Cu1 0.2420 0.2420 0.3476
Cu2 0.8926 0.8926 0.3540
Cu3 0.4419 0.4419 0.6621
Cu4 0.9854 0.9854 0.9663

Output
**Distance to the lowest polymorph of the same formula**: 44 meV/atom
**SG**: No. 8
**Calculated formation energy**: 0.74 eV/f.u.
**VASP energy**: -3.139 eV per atom


[3]
DFT (PBE-GGA) results for Cu3Ag2 after structural relaxation.

a b c (Å): 21.6007 21.6007 21.6007
angles (deg): 7.39 7.39 7.39
Fractional coordinates of all 10 atoms:
Ag1 0.0000 0.0000 0.0000
Ag2 0.2951 0.2951 0.2951
Ag3 0.5000 0.5000 0.5000
Ag4 0.7049 0.7049 0.7049
Cu1 0.1024 0.1024 0.1024
Cu2 0.2010 0.2010 0.2010
Cu3 0.4057 0.4057 0.4057
Cu4 0.5943 0.5943 0.5943
Cu5 0.7990 0.7990 0.7990
Cu6 0.8976 0.8976 0.8976

Output
**Distance to the lowest polymorph of the same formula**: 57 meV/atom
**SG**: No. 166
**Calculated formation energy**: 0.50 eV/f.u.
**VASP energy**: -3.260 eV per atom